Material: Pu4Mn2Os
Method: DFT, GGA-PBE
State: optimized geometry

**Crystal system**: tetragonal
**Volume**: 20.7 Å³ per atom
**ρ**: 14.623 g/cm³
**E_form**: 133 meV/atom
**Electronic total energy**: -12.28 eV per atom

a b c (Å): 8.292 8.292 8.431
angles (deg): 90.00 90.00 90.00
Space group I-42d (No. 122)
Asymmetric unit:
1 Pu 0.069 0.178 0.304 [16 per cell]
2 Mn 0.120 0.250 0.625 [8 per cell]
3 Os 0.000 0.000 0.000 [4 per cell]

Material: PuMnOs
Method: DFT, GGA-PBE
State: optimized geometry

**Crystal system**: hexagonal
**Volume**: 18.0 Å³ per atom
**ρ**: 15.068 g/cm³
**E_form**: 349 meV/atom
**Relative energy among the computed polymorphs**: 442.5 meV per atom
**Electronic total energy**: -11.23 eV per atom

a b c (Å): 4.4050 4.4050 3.2081
angles (deg): 90.00 90.00 120.00
Space group P-6m2 (No. 187)
Asymmetric unit:
1 Pu 0.0000 0.0000 0.0000 [1 per cell]
2 Mn 0.6667 0.3333 0.5000 [1 per cell]
3 Os 0.3333 0.6667 0.5000 [1 per cell]

Material: PuMnOs
Method: DFT, GGA-PBE
State: optimized geometry

**Crystal system**: tetragonal
**Volume**: 17.2 Å³ per atom
**ρ**: 15.729 g/cm³
**E_form**: 267 meV/atom
**Relative energy among the computed polymorphs**: 359.6 meV per atom
**Electronic total energy**: -11.31 eV per atom

a b c (Å): 3.481 3.481 8.524
angles (deg): 90.00 90.00 90.00
Space group I4mm (No. 107)
Asymmetric unit:
1 Pu 0.000 0.000 0.000 [2 per cell]
2 Mn 0.000 0.000 0.321 [2 per cell]
3 Os 0.000 0.000 0.668 [2 per cell]